No. 1
VASP calculation (GGA-PBE) on a relaxed KICl6 crystal.

Values from the calculation:
Relative energy among the computed polymorphs (eV per atom): 0.000
DFT total energy (eV per atom): -2.33
Formation energy without anion corrections (eV/atom): -0.61

Structure (POSCAR):
```
KICl6
1.0
5.5830 -4.4367 0.0000
5.5830 4.4367 0.0000
-0.1442 0.0000 11.2456
K I Cl
2 2 12
direct
0.0140 0.9860 0.7500
0.9860 0.0140 0.2500
0.0000 0.5000 0.5000
0.5000 0.0000 0.0000
0.1300 0.5435 0.2986
0.1592 0.1986 0.0027
0.1986 0.1592 0.5027
0.2685 0.6188 0.5969
0.3812 0.7315 0.9031
0.4565 0.8700 0.2014
0.5435 0.1300 0.7986
0.6188 0.2685 0.0969
0.7315 0.3812 0.4031
0.8014 0.8408 0.4973
0.8408 0.8014 0.9973
0.8700 0.4565 0.7014
```



No. 2
VASP calculation (GGA-PBE) on a relaxed K2ICl5 crystal.

Values from the calculation:
Relative energy among the computed polymorphs (eV per atom): 0.000
DFT total energy (eV per atom): -2.70
Formation energy without anion corrections (eV/atom): -1.08

Structure (POSCAR):
```
K2ICl5
1.0
11.6721 0.0000 0.0000
0.0000 10.5977 0.0000
-3.0767 0.0000 9.6609
K I Cl
8 4 20
direct
0.0147 0.1377 0.3209
0.0147 0.3623 0.8209
0.3466 0.6473 0.0079
0.3466 0.8527 0.5079
0.6534 0.1473 0.4921
0.6534 0.3527 0.9921
0.9853 0.6377 0.1791
0.9853 0.8623 0.6791
0.3525 0.1224 0.0783
0.3525 0.3776 0.5783
0.6475 0.6224 0.4217
0.6475 0.8776 0.9217
0.0770 0.6445 0.9107
0.0770 0.8555 0.4107
0.1296 0.1064 0.0004
0.1296 0.3936 0.5004
0.3460 0.1626 0.4566
0.3460 0.3374 0.9566
0.3637 0.5867 0.6943
0.3637 0.9133 0.1943
0.4152 0.6252 0.3359
0.4152 0.8748 0.8359
0.5848 0.1252 0.1641
0.5848 0.3748 0.6641
0.6363 0.0867 0.8057
0.6363 0.4133 0.3057
0.6540 0.6626 0.0434
0.6540 0.8374 0.5434
0.8704 0.6064 0.4996
0.8704 0.8936 0.9996
0.9230 0.1445 0.5893
0.9230 0.3555 0.0893
```



No. 3
VASP calculation (GGA-PBE) on a relaxed KICl4 crystal.

Values from the calculation:
Relative energy among the computed polymorphs (eV per atom): 0.024
DFT total energy (eV per atom): -2.49
Formation energy without anion corrections (eV/atom): -0.81

Structure (POSCAR):
```
KICl4
1.0
9.2487 0.0000 0.0000
0.0000 11.6598 0.0000
-3.0917 0.0000 8.5298
K I Cl
4 4 16
direct
0.1602 0.1182 0.1646
0.1602 0.3818 0.6646
0.8398 0.6182 0.3354
0.8398 0.8818 0.8354
0.2556 0.0033 0.7537
0.2556 0.4967 0.2537
0.7444 0.5033 0.7463
0.7444 0.9967 0.2463
0.0339 0.1304 0.7749
0.0339 0.3696 0.2749
0.2199 0.6140 0.4731
0.2199 0.8860 0.9731
0.2780 0.1388 0.5428
0.2780 0.3612 0.0428
0.4595 0.6268 0.2341
0.4595 0.8732 0.7341
0.5405 0.1268 0.2659
0.5405 0.3732 0.7659
0.7220 0.6388 0.9572
0.7220 0.8612 0.4572
0.7801 0.1140 0.0269
0.7801 0.3860 0.5269
0.9661 0.6304 0.7251
0.9661 0.8696 0.2251
```



No. 4
VASP calculation (GGA-PBE) on a relaxed KICl6 crystal.

Values from the calculation:
Relative energy among the computed polymorphs (eV per atom): 0.014
DFT total energy (eV per atom): -2.31
Formation energy without anion corrections (eV/atom): -0.60

Structure (POSCAR):
```
KICl6
1.0
8.3870 0.0000 0.0000
0.0000 10.7404 0.0000
-3.0329 0.0000 6.2645
K I Cl
2 2 12
direct
0.0000 0.0000 0.0000
0.5000 0.5000 0.0000
0.0000 0.5000 0.5000
0.5000 0.0000 0.5000
0.1256 0.3370 0.7860
0.1256 0.6630 0.7860
0.2112 0.0000 0.5272
0.2888 0.5000 0.4728
0.3744 0.1630 0.2140
0.3744 0.8370 0.2140
0.6256 0.1630 0.7860
0.6256 0.8370 0.7860
0.7112 0.5000 0.5272
0.7888 0.0000 0.4728
0.8744 0.3370 0.2140
0.8744 0.6630 0.2140
```



No. 5
VASP calculation (GGA-PBE) on a relaxed K2I2Cl7 crystal.

Values from the calculation:
Relative energy among the computed polymorphs (eV per atom): 0.123
DFT total energy (eV per atom): -2.31
Formation energy without anion corrections (eV/atom): -0.65

Structure (POSCAR):
```
K2I2Cl7
1.0
4.6033 -5.5117 0.0000
4.6033 5.5117 0.0000
-1.0826 0.0000 7.7387
K I Cl
2 2 7
direct
0.2493 0.7507 0.0000
0.7507 0.2493 0.0000
0.2144 0.2144 0.4690
0.7856 0.7856 0.5310
0.0642 0.3794 0.7572
0.2063 0.2063 0.1526
0.3794 0.0642 0.7572
0.5000 0.5000 0.5000
0.6206 0.9358 0.2428
0.7937 0.7937 0.8474
0.9358 0.6206 0.2428
```



No. 6
VASP calculation (GGA-PBE) on a relaxed KICl2 crystal.

Values from the calculation:
DFT total energy (eV per atom): -2.33
Formation energy without anion corrections (eV/atom): -0.75

Structure (POSCAR):
```
KICl2
1.0
5.5363 0.0000 0.0000
0.0000 5.5363 0.0000
0.0000 0.0000 19.1038
K I Cl
4 4 8
direct
0.0000 0.0000 0.0000
0.0000 0.5000 0.2500
0.5000 0.0000 0.7500
0.5000 0.5000 0.5000
0.0000 0.0000 0.5000
0.0000 0.5000 0.7500
0.5000 0.0000 0.2500
0.5000 0.5000 0.0000
0.1933 0.2500 0.6250
0.2500 0.6933 0.8750
0.2500 0.8067 0.3750
0.3067 0.2500 0.1250
0.6933 0.7500 0.1250
0.7500 0.1933 0.3750
0.7500 0.3067 0.8750
0.8067 0.7500 0.6250
```



No. 7
VASP calculation (GGA-PBE) on a relaxed K4ICl3 crystal.

Values from the calculation:
DFT total energy (eV per atom): -3.25
Formation energy without anion corrections (eV/atom): -1.82

Structure (POSCAR):
```
K4ICl3
1.0
13.1912 0.0000 0.0000
0.0000 9.3684 0.0000
-0.0071 0.0000 4.6451
K I Cl
8 2 6
direct
0.0000 0.2308 0.0000
0.0000 0.7692 0.0000
0.2408 0.0000 0.5004
0.2592 0.5000 0.4996
0.5000 0.2692 0.0000
0.5000 0.7308 0.0000
0.7408 0.5000 0.5004
0.7592 0.0000 0.4996
0.0000 0.5000 0.5000
0.5000 0.0000 0.5000
0.0000 0.0000 0.5000
0.2500 0.2500 0.0000
0.2500 0.7500 0.0000
0.5000 0.5000 0.5000
0.7500 0.2500 0.0000
0.7500 0.7500 0.0000
```



No. 8
VASP calculation (GGA-PBE) on a relaxed KICl3 crystal.

Values from the calculation:
Relative energy among the computed polymorphs (eV per atom): 0.020
DFT total energy (eV per atom): -2.51
Formation energy without anion corrections (eV/atom): -0.88

Structure (POSCAR):
```
KICl3
1.0
5.1602 0.0000 0.0000
0.5959 8.1399 0.0000
2.5675 3.3541 8.3849
K I Cl
2 2 6
direct
0.1812 0.1898 0.1358
0.8188 0.8102 0.8642
0.3999 0.6146 0.3491
0.6001 0.3854 0.6509
0.1772 0.8323 0.4700
0.2132 0.8213 0.0803
0.3832 0.5778 0.8081
0.6168 0.4222 0.1919
0.7868 0.1787 0.9197
0.8228 0.1677 0.5300
```



No. 9
VASP calculation (GGA-PBE) on a relaxed K4I2Cl crystal.

Values from the calculation:
DFT total energy (eV per atom): -2.62
Formation energy without anion corrections (eV/atom): -1.29

Structure (POSCAR):
```
K4I2Cl
1.0
6.0686 0.0000 0.0000
0.0000 6.0686 0.0000
0.0000 0.0000 18.2329
K I Cl
8 4 2
direct
0.0000 0.0000 0.1856
0.0000 0.0000 0.8144
0.0000 0.5000 0.0000
0.0000 0.5000 0.5000
0.5000 0.0000 0.0000
0.5000 0.0000 0.5000
0.5000 0.5000 0.3144
0.5000 0.5000 0.6856
0.0000 0.0000 0.3793
0.0000 0.0000 0.6207
0.5000 0.5000 0.1207
0.5000 0.5000 0.8793
0.0000 0.0000 0.0000
0.5000 0.5000 0.5000
```



No. 10
VASP calculation (GGA-PBE) on a relaxed KICl4 crystal.

Values from the calculation:
Relative energy among the computed polymorphs (eV per atom): 0.023
DFT total energy (eV per atom): -2.49
Formation energy without anion corrections (eV/atom): -0.81

Structure (POSCAR):
```
KICl4
1.0
4.8771 0.0000 0.0000
0.0000 14.6048 0.0000
-3.1007 0.0000 12.5448
K I Cl
4 4 16
direct
0.1403 0.1137 0.3713
0.1403 0.3863 0.8713
0.8597 0.6137 0.1287
0.8597 0.8863 0.6287
0.3344 0.1163 0.8030
0.3344 0.3837 0.3030
0.6656 0.6163 0.6970
0.6656 0.8837 0.1970
0.1112 0.5241 0.3554
0.1112 0.9759 0.8554
0.3133 0.1870 0.9733
0.3133 0.3130 0.4733
0.3492 0.0371 0.6189
0.3492 0.4629 0.1189
0.4512 0.7342 0.2470
0.4512 0.7658 0.7470
0.5488 0.2342 0.2530
0.5488 0.2658 0.7530
0.6508 0.5371 0.8811
0.6508 0.9629 0.3811
0.6867 0.6870 0.5267
0.6867 0.8130 0.0267
0.8888 0.0241 0.1446
0.8888 0.4759 0.6446
```



No. 11
VASP calculation (GGA-PBE) on a relaxed K2I3Cl6 crystal.

Values from the calculation:
DFT total energy (eV per atom): -2.45
Formation energy without anion corrections (eV/atom): -0.82

Structure (POSCAR):
```
K2I3Cl6
1.0
5.7092 -4.7952 0.0000
5.7092 4.7952 0.0000
-3.9278 0.0000 16.7278
K I Cl
4 6 12
direct
0.2022 0.7063 0.9996
0.2937 0.7978 0.5004
0.7063 0.2022 0.4996
0.7978 0.2937 0.0004
0.1193 0.2186 0.7574
0.2186 0.1193 0.2574
0.4711 0.5289 0.7500
0.5289 0.4711 0.2500
0.7814 0.8807 0.7426
0.8807 0.7814 0.2426
0.0954 0.1455 0.6061
0.1455 0.0954 0.1061
0.1480 0.2920 0.9086
0.2920 0.1480 0.4086
0.4127 0.4665 0.5986
0.4665 0.4127 0.0986
0.5335 0.5873 0.9014
0.5873 0.5335 0.4014
0.7080 0.8520 0.5914
0.8520 0.7080 0.0914
0.8545 0.9046 0.8939
0.9046 0.8545 0.3939
```



No. 12
VASP calculation (GGA-PBE) on a relaxed K3I2Cl2 crystal.

Values from the calculation:
DFT total energy (eV per atom): -2.89
Formation energy without anion corrections (eV/atom): -1.44

Structure (POSCAR):
```
K3I2Cl2
1.0
4.7155 0.0000 0.0000
-2.0523 6.4699 0.0000
-1.6872 -1.6677 9.1757
K I Cl
3 2 2
direct
0.0000 0.0000 0.0000
0.1393 0.4455 0.7638
0.8607 0.5545 0.2362
0.4784 0.2412 0.4810
0.5216 0.7588 0.5190
0.3932 0.7326 0.0720
0.6068 0.2674 0.9280
```



No. 13
VASP calculation (GGA-PBE) on a relaxed K2I2Cl7 crystal.

Values from the calculation:
Relative energy among the computed polymorphs (eV per atom): 0.000
DFT total energy (eV per atom): -2.43
Formation energy without anion corrections (eV/atom): -0.77

Structure (POSCAR):
```
K2I2Cl7
1.0
7.1491 0.0000 0.0000
0.0000 15.8197 0.0000
-0.8640 0.0000 7.9020
K I Cl
4 4 14
direct
0.0953 0.1531 0.4623
0.0953 0.3469 0.9623
0.9047 0.6531 0.0377
0.9047 0.8469 0.5377
0.3505 0.6159 0.6994
0.3505 0.8841 0.1994
0.6495 0.1159 0.8006
0.6495 0.3841 0.3006
0.0704 0.5239 0.7509
0.0704 0.9761 0.2509
0.1754 0.7490 0.3316
0.1754 0.7510 0.8316
0.3592 0.2049 0.8123
0.3592 0.2951 0.3123
0.5000 0.0000 0.0000
0.5000 0.5000 0.5000
0.6408 0.7049 0.6877
0.6408 0.7951 0.1877
0.8246 0.2490 0.1684
0.8246 0.2510 0.6684
0.9296 0.0239 0.7491
0.9296 0.4761 0.2491
```



No. 14
VASP calculation (GGA-PBE) on a relaxed KI3Cl crystal.

Values from the calculation:
Relative energy among the computed polymorphs (eV per atom): 0.458
DFT total energy (eV per atom): -1.43
Formation energy without anion corrections (eV/atom): 0.09

Structure (POSCAR):
```
KI3Cl
1.0
6.7097 0.0000 0.0000
0.0000 6.7097 0.0000
0.0000 0.0000 6.7097
K I Cl
1 3 1
direct
0.0000 0.0000 0.0000
0.0000 0.0000 0.5000
0.0000 0.5000 0.0000
0.5000 0.0000 0.0000
0.5000 0.5000 0.5000
```



No. 15
VASP calculation (GGA-PBE) on a relaxed KICl2 crystal.

Values from the calculation:
DFT total energy (eV per atom): -2.67
Formation energy without anion corrections (eV/atom): -1.08

Structure (POSCAR):
```
KICl2
1.0
5.0753 0.0000 0.0000
-2.5376 4.3953 0.0000
0.0000 0.0000 15.6398
K I Cl
2 2 4
direct
0.0000 0.0000 0.0000
0.0000 0.0000 0.5000
0.3333 0.6667 0.2500
0.6667 0.3333 0.7500
0.3333 0.6667 0.0850
0.3333 0.6667 0.4150
0.6667 0.3333 0.5850
0.6667 0.3333 0.9150
```



No. 16
VASP calculation (GGA-PBE) on a relaxed KICl3 crystal.

Values from the calculation:
Relative energy among the computed polymorphs (eV per atom): 0.000
DFT total energy (eV per atom): -2.53
Formation energy without anion corrections (eV/atom): -0.90

Structure (POSCAR):
```
KICl3
1.0
5.2042 -7.5030 0.0000
5.2042 7.5030 0.0000
-3.1496 0.0000 4.8050
K I Cl
2 2 6
direct
0.1760 0.8240 0.0000
0.8240 0.1760 0.0000
0.2396 0.2396 0.7389
0.7604 0.7604 0.2611
0.0583 0.3967 0.7273
0.2299 0.2299 0.2293
0.3967 0.0583 0.7273
0.6033 0.9417 0.2727
0.7701 0.7701 0.7707
0.9417 0.6033 0.2727
```



No. 17
VASP calculation (GGA-PBE) on a relaxed KI2Cl crystal.

Values from the calculation:
Relative energy among the computed polymorphs (eV per atom): 0.059
DFT total energy (eV per atom): -1.89
Formation energy without anion corrections (eV/atom): -0.38

Structure (POSCAR):
```
KI2Cl
1.0
8.4070 0.0000 0.0000
0.0000 8.4070 0.0000
0.0000 0.0000 8.4070
K I Cl
4 8 4
direct
0.0000 0.0000 0.0000
0.0000 0.5000 0.5000
0.5000 0.0000 0.5000
0.5000 0.5000 0.0000
0.2500 0.2500 0.2500
0.2500 0.2500 0.7500
0.2500 0.7500 0.2500
0.2500 0.7500 0.7500
0.7500 0.2500 0.2500
0.7500 0.2500 0.7500
0.7500 0.7500 0.2500
0.7500 0.7500 0.7500
0.0000 0.0000 0.5000
0.0000 0.5000 0.0000
0.5000 0.0000 0.0000
0.5000 0.5000 0.5000
```



No. 18
VASP calculation (GGA-PBE) on a relaxed K5I4Cl crystal.

Values from the calculation:
Relative energy among the computed polymorphs (eV per atom): 0.000
DFT total energy (eV per atom): -2.92
Formation energy without anion corrections (eV/atom): -1.56

Structure (POSCAR):
```
K5I4Cl
1.0
-2.4363 3.5302 12.5835
2.4363 -3.5302 12.5835
2.4363 3.5302 -12.5835
K I Cl
5 4 1
direct
0.0000 0.0000 0.0000
0.2018 0.2018 0.0000
0.4128 0.4128 0.0000
0.5872 0.5872 0.0000
0.7982 0.7982 0.0000
0.0990 0.5990 0.5000
0.3053 0.8053 0.5000
0.6947 0.1947 0.5000
0.9010 0.4010 0.5000
0.5000 0.0000 0.5000
```



No. 19
VASP calculation (GGA-PBE) on a relaxed KICl2 crystal.

Values from the calculation:
DFT total energy (eV per atom): -2.66
Formation energy without anion corrections (eV/atom): -1.08

Structure (POSCAR):
```
KICl2
1.0
15.0873 0.0000 0.0000
0.0000 5.0604 0.0000
-2.9656 0.0000 8.5612
K I Cl
4 4 8
direct
0.2500 0.2500 0.0000
0.2500 0.7500 0.5000
0.7500 0.2500 0.5000
0.7500 0.7500 0.0000
0.0000 0.0000 0.0000
0.0000 0.0000 0.5000
0.5000 0.5000 0.0000
0.5000 0.5000 0.5000
0.1584 0.2371 0.6237
0.1584 0.7629 0.1237
0.3416 0.2629 0.3763
0.3416 0.7371 0.8763
0.6584 0.2629 0.1237
0.6584 0.7371 0.6237
0.8416 0.2371 0.8763
0.8416 0.7629 0.3763
```